Entry 1:
The following is a DFT calculation (PBE) of Co2AsRh after structural relaxation.

a b c (Å): 4.926 4.926 4.926
angles (deg): 146.07 129.24 62.46
Last column: magnetic moment on the atom in μB.
Fractional positions:
As (0.250, 0.750, 0.500)  -0.03
Co (0.028, 0.028, 0.000)  1.34
Co (0.472, 0.472, 0.000)  1.34
Rh (0.750, 0.250, 0.500)  0.28

Formation enthalpy at 0 K   -5 meV per atom
Magnetic moment   2.85 μB/f.u.
V   12.78 Å³ per atom
Electronic total energy   -6.558 eV/atom
Density   9.60 g cm⁻³
Crystal system   orthorhombic



Entry 2:
The following is a DFT calculation (PBE) of VGa2Ag2 after structural relaxation.

a b c (Å): 7.496 7.496 2.971
angles (deg): 90.00 90.00 90.00
Fractional positions:
Ag (0.144, 0.644, 0.500)
Ag (0.644, 0.856, 0.500)
Ag (0.856, 0.356, 0.500)
Ag (0.356, 0.144, 0.500)
Ga (0.342, 0.842, 0.000)
Ga (0.842, 0.658, 0.000)
Ga (0.658, 0.158, 0.000)
Ga (0.158, 0.342, 0.000)
V (0.000, 0.000, 0.000)
V (0.500, 0.500, 0.000)

Formation enthalpy at 0 K   258 meV per atom
Magnetic moment   0.00 μB/f.u.
V   16.69 Å³ per atom
Electronic total energy   -3.917 eV/atom
Density   8.08 g cm⁻³
Crystal system   tetragonal



Entry 3:
The following is a DFT calculation (PBE) of CdCu2Re after structural relaxation.

a b c (Å): 3.815 2.715 6.372
angles (deg): 64.55 90.00 90.00
Fractional positions:
Cd (0.500, 0.750, 0.750)
Cu (0.000, 0.973, 0.029)
Cu (0.000, 0.527, 0.471)
Re (0.500, 0.250, 0.250)

Formation enthalpy at 0 K   397 meV per atom
Magnetic moment   0.00 μB/f.u.
V   14.90 Å³ per atom
Electronic total energy   -4.992 eV/atom
Density   11.86 g cm⁻³
Crystal system   monoclinic